No. 1
Entry from the Alexandria database: TbPd3Au7 after structural relaxation (GGA-PBE). Values from VASP.

```
&SYSTEM
  ibrav = 0, nat = 11, ntyp = 3
/
ATOMIC_SPECIES
Tb 158.93 Tb.upf
Pd 106.42 Pd.upf
Au 196.97 Au.upf
ATOMIC_POSITIONS crystal
Tb 0.500 0.500 0.500
Pd 0.000 0.768 0.232
Pd 0.500 0.000 0.000
Pd 0.000 0.232 0.768
Au 0.054 0.182 0.182
Au 0.324 0.063 0.590
Au 0.676 0.410 0.937
Au 0.324 0.590 0.063
Au 0.000 0.500 0.500
Au 0.676 0.937 0.410
Au 0.946 0.818 0.818
CELL_PARAMETERS angstrom
5.533 0.394 0.505
-2.059 6.206 -0.051
-2.059 -1.554 6.009
```

Summary:
crystal system	monoclinic
space-group type	C2/m (12)



No. 2
Entry from the Alexandria database: Tb8Pd2Au after structural relaxation (GGA-PBE). Values from VASP.

```
&SYSTEM
  ibrav = 0, nat = 11, ntyp = 3
/
ATOMIC_SPECIES
Tb 158.93 Tb.upf
Pd 106.42 Pd.upf
Au 196.97 Au.upf
ATOMIC_POSITIONS crystal
Tb 0.408 0.535 0.816
Tb 0.672 0.991 0.343
Tb 0.797 0.662 0.594
Tb 0.969 0.220 0.938
Tb 0.203 0.338 0.406
Tb 0.328 0.009 0.657
Tb 0.592 0.465 0.184
Tb 0.031 0.780 0.062
Pd 0.820 0.264 0.640
Pd 0.180 0.736 0.360
Au 0.500 0.000 0.000
CELL_PARAMETERS angstrom
5.118 0.000 0.000
0.000 6.776 0.181
-2.559 -2.701 8.534
```

Summary:
crystal system	monoclinic
space-group type	C2/m (12)



No. 3
Entry from the Alexandria database: TbPd5Au8 after structural relaxation (GGA-PBE). Values from VASP.

```
&SYSTEM
  ibrav = 0, nat = 14, ntyp = 3
/
ATOMIC_SPECIES
Tb 158.93 Tb.upf
Pd 106.42 Pd.upf
Au 196.97 Au.upf
ATOMIC_POSITIONS crystal
Tb 0.250 0.500 0.750
Pd 0.048 0.337 0.131
Pd 0.869 0.918 0.206
Pd 0.794 0.663 0.712
Pd 0.500 0.000 0.500
Pd 0.288 0.082 0.952
Au 0.133 0.732 0.082
Au 0.918 0.051 0.650
Au 0.751 0.268 0.350
Au 0.650 0.401 0.918
Au 0.517 0.599 0.249
Au 0.599 0.949 0.867
Au 0.350 0.268 0.401
Au 0.082 0.732 0.483
CELL_PARAMETERS angstrom
-6.236 3.068 0.844
-0.598 -6.002 -3.555
2.510 -1.117 6.440
```

Summary:
crystal system	tetragonal
space-group type	I-4 (82)



Electronic total energy (computed, eV per atom): -4.03; -5.07; -4.20